Compound: CuSnS2
Source: the Alexandria database
Functional: GGA-PBE
Structure: optimized geometry

## Properties
Total magnetization in μB/f.u.: 0.00
Formation energy (no corrections) in meV/atom: -214

The structure in CIF format:
```
data_CuSnS2
_chemical_formula_sum 'Cu3 Sn3 S6'
_cell_length_a 4.1244
_cell_length_b 4.1244
_cell_length_c 21.0627
_cell_angle_alpha 90.00
_cell_angle_beta 90.00
_cell_angle_gamma 120.00
_symmetry_space_group_name_H-M 'R -3 m'
_symmetry_Int_Tables_number 166
_symmetry_space_group_name_Hall '-R 3 2"'
loop_
_atom_site_label
_atom_site_fract_x
_atom_site_fract_y
_atom_site_fract_z
_atom_site_occupancy
Cu1 0.0000 0.0000 0.0000 1
Sn1 0.0000 0.0000 0.5000 1
S1 0.0000 0.0000 0.1003 1
```